Entry a
Here is a relaxed Pr5Sm2Ho12 crystal from Alexandria. Energies are from PBE.

Space-group type: P-1 (2)

Cell: 6.295 12.135 17.340 Å, 151.06 102.73 80.27°
Element x y z (fractional)
Ho (0.266, 0.540, 0.895)
Ho (0.160, 0.113, 0.292)
Ho (0.920, 0.461, 0.629)
Ho (0.461, 0.246, 0.573)
Pr (0.000, 0.000, 0.500)
Ho (0.239, 0.252, 0.040)
Pr (0.642, 0.337, 0.342)
Sm (0.250, 0.951, 0.013)
Pr (0.223, 0.682, 0.173)
Ho (0.080, 0.539, 0.371)
Ho (0.315, 0.091, 0.761)
Ho (0.761, 0.748, 0.960)
Ho (0.734, 0.460, 0.105)
Pr (0.358, 0.663, 0.658)
Ho (0.685, 0.909, 0.239)
Sm (0.750, 0.049, 0.987)
Ho (0.539, 0.754, 0.427)
Pr (0.777, 0.318, 0.827)
Ho (0.840, 0.887, 0.708)

---

Entry b
Here is a relaxed Pr5Sm2Ho12 crystal from Alexandria. Energies are from PBE.

Space-group type: C2/m (12)

Cell: 9.108 10.041 8.721 Å, 67.07 90.00 116.97°
Element x y z (fractional)
Pr (0.718, 0.435, 0.770)
Ho (0.329, 0.290, 0.092)
Ho (0.841, 0.248, 0.548)
Ho (0.045, 0.090, 0.817)
Ho (0.159, 0.752, 0.452)
Ho (0.955, 0.910, 0.183)
Ho (0.436, 0.871, 0.717)
Pr (0.000, 0.000, 0.500)
Sm (0.328, 0.000, 0.000)
Ho (0.961, 0.290, 0.092)
Pr (0.764, 0.528, 0.295)
Ho (0.406, 0.248, 0.548)
Ho (0.671, 0.710, 0.908)
Ho (0.039, 0.710, 0.908)
Sm (0.672, 0.000, 0.000)
Ho (0.594, 0.752, 0.452)
Ho (0.564, 0.129, 0.283)
Pr (0.236, 0.472, 0.705)
Pr (0.282, 0.565, 0.230)

---

Tell me which of them is the most stable. Sure, it is entry a.